(1)
The following is a DFT calculation (PBE-GGA) of a relaxed Rb4Pa3AgTe8 crystal.

Lattice parameters (Å, degrees): 9.030 10.066 9.031 116.67 120.00 90.00
Each line ends with the local moment (μB).
Fractional positions:
Rb 0.000 0.000 0.500  0.00
Rb 0.500 0.000 0.500  0.00
Rb 0.000 0.000 0.000  0.00
Rb 0.500 0.000 0.000  0.00
Pa 0.500 0.500 0.000  1.23
Pa 0.500 0.500 0.500  1.22
Pa 0.000 0.500 0.500  1.22
Te 0.235 0.699 0.964  -0.03
Te 0.271 0.301 0.036  -0.03
Te 0.735 0.704 0.469  -0.03
Te 0.765 0.301 0.036  -0.03
Te 0.235 0.699 0.470  -0.03
Te 0.265 0.296 0.531  -0.03
Te 0.729 0.699 0.964  -0.03
Te 0.765 0.301 0.530  -0.03
Ag 0.000 0.500 0.000  -0.01

## Properties
The value obtained for the energy relative to the elements, uncorrected is -0.853 eV/atom. The raw total energy is -73.989 eV per cell. As for the magnetization: 4.01 μB per formula unit.

(2)
The following is a DFT calculation (PBE-GGA) of a relaxed Rb2Pa2AgTe6 crystal.

Lattice parameters (Å, degrees): 7.640 7.640 9.126 97.73 97.73 119.88
Each line ends with the local moment (μB).
Fractional positions:
Te 0.935 0.595 0.304  -0.02
Te 0.285 0.285 0.301  -0.03
Te 0.405 0.065 0.696  -0.02
Te 0.065 0.405 0.696  -0.02
Te 0.715 0.715 0.699  -0.03
Te 0.595 0.935 0.304  -0.02
Ag 0.000 0.000 0.500  -0.01
Rb 0.163 0.837 0.000  0.00
Rb 0.837 0.163 0.000  0.00
Pa 0.667 0.333 0.500  0.59
Pa 0.333 0.667 0.500  0.59

## Properties
The value obtained for the energy relative to the elements, uncorrected is -0.809 eV/atom. The raw total energy is -51.528 eV per cell. As for the magnetization: 1.05 μB per formula unit.

(3)
The following is a DFT calculation (PBE-GGA) of a relaxed Rb3Pa3AgTe8 crystal.

Lattice parameters (Å, degrees): 8.905 8.897 10.131 115.99 90.00 120.03
Each line ends with the local moment (μB).
Fractional positions:
Te 0.277 0.040 0.303  -0.03
Te 0.763 0.040 0.303  -0.03
Te 0.265 0.530 0.296  -0.03
Te 0.237 0.960 0.697  -0.03
Te 0.723 0.960 0.697  -0.03
Te 0.236 0.473 0.697  -0.03
Te 0.764 0.527 0.303  -0.03
Te 0.735 0.470 0.704  -0.03
Pa 0.500 0.500 0.500  1.00
Pa 0.500 0.000 0.500  1.00
Pa 0.000 0.500 0.500  1.00
Ag 0.000 0.000 0.500  -0.01
Rb 0.000 0.000 0.000  0.00
Rb 0.500 0.500 0.000  0.00
Rb 0.000 0.500 0.000  0.00

## Properties
The value obtained for the energy relative to the elements, uncorrected is -0.826 eV/atom. The raw total energy is -71.758 eV per cell. As for the magnetization: 3.01 μB per formula unit.

(4)
The following is a DFT calculation (PBE-GGA) of a relaxed Rb3PaAg2Te6 crystal.

Lattice parameters (Å, degrees): 7.893 7.893 9.046 97.77 97.77 125.92
Fractional positions:
Te 0.915 0.594 0.814
Te 0.406 0.085 0.186
Te 0.594 0.915 0.814
Te 0.085 0.406 0.186
Te 0.247 0.247 0.787
Te 0.753 0.753 0.213
Rb 0.175 0.825 0.500
Rb 0.825 0.175 0.500
Rb 0.500 0.500 0.500
Ag 0.355 0.645 0.000
Ag 0.645 0.355 0.000
Pa 0.000 0.000 0.000

## Properties
The value obtained for the energy relative to the elements, uncorrected is -0.603 eV/atom. The raw total energy is -44.192 eV per cell. As for the magnetization: 0.00 μB per formula unit.